An optimized crystal structure of MnIn2Au. Source: Alexandria via LeMat-Bulk, functional PBE.

Its calculated volume is 161.8 Å³ per cell. The energy above the most stable polymorph in this dataset comes out at 0.1522 eV per atom. As for the crystal system: monoclinic. The total moment is 0.872 μB/atom. The value obtained for the density is 9.89 g/cm3. The calculation puts the density of states at the Fermi level at 2.9 states/eV/f.u. As for the formation energy: 0.19 eV/atom.

The space group is C2/m (No. 12) and the conventional cell measures 6.1971, 9.0393 and 3.1144 Å, with angles of 90.00, 111.98 and 90.00 degrees. Symmetry generates all atoms from Mn at (0.0000, 0.0000, 0.0000), In at (0.2500, 0.2500, 0.5000) and Au at (0.0000, 0.5000, 0.0000).

---

An optimized crystal structure of Bi2HRuRh. Source: Alexandria via LeMat-Bulk, functional PBE.

Its calculated volume is 85.4 Å³ per cell. As for the crystal system: tetragonal. The total moment is 0.126 μB/atom. The value obtained for the raw total energy is -5.262 eV per atom. The value obtained for the density is 12.11 g/cm3. The calculation puts the density of states at the Fermi level at 4.8 states/eV/f.u.

The space group is P4/mmm (No. 123) and the conventional cell measures 4.9795, 4.9795 and 3.4451 Å, with angles of 90.00, 90.00 and 90.00 degrees. Symmetry generates all atoms from Bi at (0.0000, 0.5000, 0.0000), H at (0.0000, 0.0000, 0.0000), Ru at (0.5000, 0.5000, 0.5000) and Rh at (0.0000, 0.0000, 0.5000).

---

An optimized crystal structure of Fe7Co3Si. Source: Alexandria via LeMat-Bulk, functional PBE.

Its calculated volume is 526.6 Å³ per cell. As for the crystal system: orthorhombic. The calculation puts the raw formation energy at 0.098 eV per atom. The total moment is 1.934 μB/atom. The value obtained for the density is 7.51 g/cm3. The calculation puts the density of states at the Fermi level at 10.1 states/eV/f.u.

The space group is Cmcm (No. 63) and the conventional cell measures 2.5745, 18.3456 and 11.1495 Å, with angles of 90.00, 90.00 and 90.00 degrees. Symmetry generates all atoms from Fe at (0.0000, 0.0539, 0.1383), Fe at (0.0000, 0.0821, 0.5832), Fe at (0.0000, 0.1878, 0.2500), Fe at (0.0000, 0.2204, 0.5957), Co at (0.0000, 0.3418, 0.2500), Co at (0.0000, 0.3456, 0.5641) and Si at (0.0000, 0.4668, 0.2500).

---

An optimized crystal structure of Ti6SnSe12. Source: Alexandria via LeMat-Bulk, functional PBE.

Its calculated volume is 1187.2 Å³ per cell. As for the crystal system: trigonal. The calculation puts the raw formation energy at -0.688 eV per atom. The total moment is 0.000 μB/atom. The value obtained for the density is 5.68 g/cm3. The calculation puts the density of states at the Fermi level at 12.4 states/eV/f.u.

The space group is R-3m (No. 166, hexagonal axes) and the conventional cell measures 12.7480, 12.7480 and 8.4357 Å, with angles of 90.00, 90.00 and 120.00 degrees. Symmetry generates all atoms from Ti at (0.0233, 0.5116, 0.2293), Sn at (0.0000, 0.0000, 0.0000), Se at (0.0000, 0.3838, 0.5000) and Se at (0.0884, 0.1768, 0.3204).